[1]
Compound: LiCa2Si3
Source: Alexandria
Functional: SCAN
Structure: single point on PBEsol structure

```
LiCa2Si3
1.0
4.322 0.000 0.000
0.000 10.426 0.000
0.000 0.000 11.137
Si Ca Li
12 8 4
Cartesian
0.000 0.351 6.677 Si
2.161 4.861 1.109 Si
2.161 5.564 10.028 Si
2.161 2.549 1.502 Si
2.161 7.877 9.635 Si
2.161 9.291 0.443 Si
0.000 7.762 4.067 Si
0.000 4.078 5.125 Si
0.000 10.074 4.460 Si
0.000 2.664 7.070 Si
2.161 1.135 10.694 Si
0.000 6.347 6.012 Si
0.000 7.071 0.820 Ca
2.161 5.739 3.893 Ca
2.161 1.858 4.748 Ca
0.000 0.526 1.676 Ca
0.000 3.355 10.317 Ca
2.161 8.568 6.389 Ca
0.000 9.900 9.461 Ca
2.161 4.687 7.244 Ca
2.161 1.447 8.009 Li
0.000 6.660 8.696 Li
2.161 8.978 3.128 Li
0.000 3.765 2.441 Li
```

Results
VASP energy = -9.105 eV per atom
Space-group type = Pnnm
Energy relative to the elements, uncorrected = -0.48 eV/atom

[2]
Compound: HgPt2Br
Source: Alexandria
Functional: SCAN
Structure: single point on PBEsol structure

```
HgPt2Br
1.0
2.945 0.000 0.000
0.000 4.379 0.000
-1.473 -2.189 5.910
Pt Br Hg
2 1 1
Cartesian
0.000 2.189 3.506 Pt
1.473 2.189 5.876 Pt
0.000 0.000 5.829 Br
1.473 0.000 2.518 Hg
```

Results
ΔE to the lowest computed polymorph = 285 meV per atom
VASP energy = -56.546 eV per atom
Space-group type = Imm2
Energy relative to the elements, uncorrected = 0.46 eV/atom

[3]
Compound: Na2HfNbCd
Source: Alexandria
Functional: SCAN
Structure: single point on PBEsol structure

```
Na2HfNbCd
1.0
4.866 0.000 0.000
0.000 4.866 0.000
0.000 0.000 5.573
Na Nb Cd Hf
2 1 1 1
Cartesian
0.000 2.433 0.000 Na
2.433 0.000 0.000 Na
2.433 2.433 2.787 Nb
0.000 0.000 0.000 Cd
0.000 0.000 2.787 Hf
```

Results
Calculated formation energy = 6.477 eV per formula unit
VASP energy = -25.634 eV per atom
Space-group type = P4/mmm

[4]
Compound: TaTeBr9
Source: Alexandria
Functional: SCAN
Structure: single point on PBEsol structure

```
TaTeBr9
1.0
-3.565 5.670 0.026
0.179 -2.803 9.544
9.688 6.084 1.605
Br Te Ta
18 2 2
Cartesian
5.432 6.617 4.484 Br
-2.484 4.100 6.612 Br
1.382 3.172 0.419 Br
-0.920 2.813 3.114 Br
7.221 6.138 8.061 Br
-1.084 6.284 3.505 Br
5.078 2.194 10.332 Br
0.869 2.334 6.690 Br
4.294 4.300 7.575 Br
2.007 4.651 3.599 Br
7.385 2.667 7.670 Br
0.691 6.094 7.138 Br
4.919 5.779 10.756 Br
5.611 2.857 4.036 Br
8.121 4.105 10.836 Br
8.785 4.851 4.562 Br
1.224 6.757 0.843 Br
-1.819 4.846 0.339 Br
6.496 4.621 5.632 Te
-0.194 4.330 5.543 Te
0.151 4.779 1.759 Ta
6.151 4.172 9.416 Ta
```

Results
VASP energy = -26.066 eV per atom
Space-group type = P2_1/m
Energy relative to the elements, uncorrected = -0.71 eV/atom

[5]
Compound: BeZnTe2
Source: Alexandria
Functional: SCAN
Structure: single point on PBEsol structure

```
BeZnTe2
1.0
-0.379 -2.729 2.965
3.085 -2.113 -1.550
3.959 3.229 3.478
Be Te Zn
1 2 1
Cartesian
1.979 1.615 1.739 Be
2.483 -0.289 0.051 Te
2.829 1.098 4.134 Te
3.332 -0.806 2.447 Zn
```

Results
ΔE to the lowest computed polymorph = 185 meV per atom
VASP energy = -23.366 eV per atom
Space-group type = P-4m2
Energy relative to the elements, uncorrected = -0.27 eV/atom

[6]
Compound: Ru2PtBr
Source: Alexandria
Functional: SCAN
Structure: single point on PBEsol structure

```
Ru2PtBr
1.0
-2.269 1.722 1.503
-0.775 -2.477 1.668
4.182 1.661 4.410
Pt Ru Br
1 2 1
Cartesian
0.569 0.453 3.790 Pt
1.189 0.472 1.254 Ru
2.993 1.189 3.156 Ru
-1.522 -0.377 1.585 Br
```

Results
ΔE to the lowest computed polymorph = 159 meV per atom
VASP energy = -39.133 eV per atom
Space-group type = Pmmm
Energy relative to the elements, uncorrected = 0.69 eV/atom

[7]
Compound: BaTe2MoN
Source: Alexandria
Functional: SCAN
Structure: single point on PBEsol structure

```
BaTe2MoN
1.0
3.874 0.000 0.000
0.000 5.625 0.000
0.000 0.000 5.625
Mo Te Ba N
1 2 1 1
Cartesian
0.000 0.000 0.000 Mo
0.000 2.813 0.000 Te
0.000 0.000 2.813 Te
1.937 2.813 2.813 Ba
1.937 0.000 0.000 N
```

Results
VASP energy = -32.199 eV per atom
Space-group type = P4/mmm
Energy relative to the elements, uncorrected = -0.55 eV/atom

[8]
Compound: Li15Ge4
Source: Alexandria
Functional: SCAN
Structure: single point on PBEsol structure

```
Li15Ge4
1.0
9.161 0.000 0.000
-3.054 8.637 0.000
-3.054 -4.319 7.480
Li Ge
30 8
Cartesian
3.034 3.860 2.072 Li
0.763 2.699 0.935 Li
-1.547 -0.136 4.379 Li
4.561 -0.458 5.408 Li
1.507 0.594 5.173 Li
-3.074 4.183 3.101 Li
3.817 3.779 4.675 Li
-0.425 4.770 4.925 Li
7.692 -0.541 1.433 Li
-1.139 2.385 2.853 Li
2.290 -1.619 6.545 Li
-2.290 6.478 1.870 Li
-0.020 4.913 2.307 Li
4.639 -2.808 7.232 Li
0.387 -1.934 4.627 Li
3.441 1.278 3.492 Li
5.682 1.988 1.668 Li
-2.996 3.778 6.047 Li
5.344 -0.540 2.805 Li
3.112 1.511 0.248 Li
2.628 6.199 0.887 Li
4.155 1.880 6.593 Li
0.058 7.667 1.184 Li
-0.763 2.159 5.610 Li
1.585 3.348 6.296 Li
1.914 5.597 3.988 Li
-1.952 -2.331 5.812 Li
4.968 4.974 0.639 Li
1.101 0.451 2.556 Li
-2.666 0.656 6.841 Li
-0.257 -0.363 6.852 Ge
0.770 0.000 0.000 Ge
1.270 2.885 3.740 Ge
4.324 6.115 3.112 Ge
2.797 -1.434 3.740 Ge
-3.310 1.797 4.368 Ge
-1.783 3.956 0.628 Ge
5.350 0.000 0.000 Ge
```

Results
Calculated formation energy = -6.393 eV per formula unit
VASP energy = -6.242 eV per atom
Space-group type = I-43d

[9]
Compound: Tl2AgPb
Source: Alexandria
Functional: SCAN
Structure: single point on PBEsol structure

```
Tl2AgPb
1.0
3.384 0.000 0.000
0.000 3.384 0.000
0.000 0.000 8.785
Tl Pb Ag
2 1 1
Cartesian
0.000 0.000 0.054 Tl
1.692 1.692 2.509 Tl
1.692 1.692 6.253 Pb
0.000 0.000 4.362 Ag
```

Results
Calculated formation energy = 0.289 eV per formula unit
VASP energy = -62.894 eV per atom
Space-group type = P4mm

[10]
Compound: CaSiP2
Source: Alexandria
Functional: SCAN
Structure: single point on PBEsol structure

```
CaSiP2
1.0
-1.654 -0.865 -3.209
4.439 0.944 -0.394
-0.738 -4.781 1.669
P Si Ca
2 1 1
Cartesian
0.585 -4.311 -1.287 P
1.462 -0.392 -0.648 P
-0.827 -0.432 -1.605 Si
-0.369 -2.391 0.834 Ca
```

Results
VASP energy = -10.344 eV per atom
Space-group type = C2/m
Energy relative to the elements, uncorrected = -0.22 eV/atom

[11]
Compound: MnP4O12
Source: Alexandria
Functional: SCAN
Structure: single point on PBEsol structure

```
MnP4O12
1.0
-3.345 2.219 -3.015
-3.883 -5.539 2.660
-4.007 7.648 10.074
O P Mn
24 8 2
Cartesian
-6.038 -0.768 2.718 O
-6.790 2.605 10.904 O
-5.275 5.243 7.195 O
-6.918 3.747 5.720 O
-5.664 2.668 7.803 O
-7.819 5.684 7.278 O
-6.562 4.655 9.413 O
-6.618 8.126 6.438 O
-5.582 3.891 1.671 O
-5.899 -2.944 1.291 O
-6.703 5.834 4.265 O
-5.238 -0.651 -1.284 O
-3.977 4.675 5.008 O
-3.497 -0.986 1.937 O
-5.597 -1.931 5.742 O
-4.150 0.042 4.283 O
-8.223 3.167 8.024 O
-5.102 0.763 0.736 O
-4.135 1.422 6.319 O
-3.286 1.680 2.379 O
-4.211 3.423 -0.362 O
-3.732 -3.034 3.441 O
-6.815 0.505 9.555 O
-5.798 1.818 3.133 O
-3.961 4.917 6.448 P
-5.920 3.857 10.523 P
-7.537 4.551 4.597 P
-2.056 2.195 3.143 P
-2.756 -2.022 2.752 P
-6.554 2.834 2.309 P
-6.656 -1.770 1.715 P
-9.757 3.234 8.027 P
-6.745 4.196 7.565 Mn
-4.642 0.419 2.533 Mn
```

Results
ΔE to the lowest computed polymorph = 3 meV per atom
VASP energy = -10.155 eV per atom
Space-group type = P2_1
Energy relative to the elements, uncorrected = -2.24 eV/atom

[12]
Compound: K3Hg
Source: Alexandria
Functional: SCAN
Structure: single point on PBEsol structure

```
K3Hg
1.0
4.559 0.000 0.000
2.280 3.948 0.000
2.280 1.316 11.921
K Hg
3 1
Cartesian
6.839 3.948 9.723 K
2.280 1.316 2.198 K
4.559 2.632 5.960 K
0.000 0.000 0.000 Hg
```

Results
Calculated formation energy = -0.403 eV per formula unit
VASP energy = -23.389 eV per atom
Space-group type = R-3m

no.,density (Mg/m³),volume (Å³ per atom),magnetic moment (μB per formula unit)
1,2.27,20.91,0.0
2,14.61,19.05,0.0
3,5.41,26.39,3.4
4,4.57,33.93,0.0
5,5.41,25.31,0.0
6,12.66,15.65,0.0
7,6.81,24.52,1.0
8,2.21,15.58,0.0
9,11.95,25.16,0.0
10,2.98,18.13,0.0
11,2.60,13.95,2.9
12,2.46,53.65,0.0